[1]
{
  "formula": "K3W",
  "functional": "PBE",
  "state": "optimized geometry",
  "lattice_angstrom": [[5.3336, -8.5962, 0.0000], [5.3336, 8.5962, 0.0000], [0.0000, 0.0000, 4.3845]],
  "species": ["K", "K", "K", "K", "K", "K", "W", "W"],
  "frac_coords": [[0.1924, 0.3810, 0.2500], [0.2040, 0.7960, 0.7500], [0.3810, 0.1924, 0.7500], [0.6190, 0.8076, 0.2500], [0.7960, 0.2040, 0.2500], [0.8076, 0.6190, 0.7500], [0.0254, 0.9746, 0.2500], [0.9746, 0.0254, 0.7500]],
  "e_above_lowest_polymorph_mev_per_atom": 0,
  "rho_kg_m3": 2488,
  "total_energy_ev_per_atom": -3.168,
  "e_form_kcal_per_mol_atoms": 20.59
}

=====

[2]
{
  "formula": "AcSc2O",
  "functional": "PBE",
  "state": "optimized geometry",
  "lattice_angstrom": [[3.1687, 0.0000, 0.0000], [0.0000, 3.1687, 0.0000], [0.0000, 0.0000, 8.4456]],
  "species": ["Ac", "Sc", "Sc", "O"],
  "frac_coords": [[0.0000, 0.0000, 0.0000], [0.5000, 0.5000, 0.3347], [0.5000, 0.5000, 0.6653], [0.0000, 0.0000, 0.5000]],
  "e_above_lowest_polymorph_mev_per_atom": 577,
  "rho_kg_m3": 6519,
  "total_energy_ev_per_atom": -6.020,
  "e_form_raw_mev_per_atom": -587.5
}

=====

[3]
{
  "formula": "LaPm4In2",
  "functional": "PBE",
  "state": "optimized geometry",
  "lattice_angstrom": [[3.4146, -5.6438, 0.0000], [3.4146, 5.6438, 0.0000], [-2.0291, 0.0000, 5.9624]],
  "species": ["La", "Pm", "Pm", "Pm", "Pm", "In", "In"],
  "frac_coords": [[0.0000, 0.0000, 0.0000], [0.2197, 0.7803, 0.5000], [0.3338, 0.6662, 0.0000], [0.6662, 0.3338, 0.0000], [0.7803, 0.2197, 0.5000], [0.3089, 0.3089, 0.5516], [0.6911, 0.6911, 0.4484]],
  "e_above_lowest_polymorph_mev_per_atom": 0,
  "rho_kg_m3": 6854,
  "total_energy_ev_per_atom": -4.358,
  "e_form_kcal_per_mol_atoms": -3.62
}

=====

[4]
{
  "formula": "DyScBr6",
  "functional": "PBE",
  "state": "optimized geometry",
  "lattice_angstrom": [[3.3827, -6.7271, 0.0000], [3.3827, 6.7271, 0.0000], [-2.0466, 0.0000, 6.4467]],
  "species": ["Dy", "Sc", "Br", "Br", "Br", "Br", "Br", "Br"],
  "frac_coords": [[0.0000, 0.0000, 0.0000], [0.5000, 0.5000, 0.5000], [0.1222, 0.4019, 0.2617], [0.2557, 0.2557, 0.7441], [0.4019, 0.1222, 0.2617], [0.5981, 0.8778, 0.7383], [0.7443, 0.7443, 0.2559], [0.8778, 0.5981, 0.7383]],
  "rho_kg_m3": 3888,
  "total_energy_ev_per_atom": -4.365,
  "e_form_raw_mev_per_atom": -1743.9
}

=====

[5]
{
  "formula": "Ti5BeBi2",
  "functional": "PBE",
  "state": "optimized geometry",
  "lattice_angstrom": [[1.6666, -8.1133, 0.0000], [1.6666, 8.1133, 0.0000], [0.0000, 0.0000, 12.0731]],
  "species": ["Ti", "Ti", "Ti", "Ti", "Ti", "Ti", "Ti", "Ti", "Ti", "Ti", "Be", "Be", "Bi", "Bi", "Bi", "Bi"],
  "frac_coords": [[0.1388, 0.8612, 0.6270], [0.1388, 0.8612, 0.8730], [0.2514, 0.7486, 0.2500], [0.3046, 0.6954, 0.5480], [0.3046, 0.6954, 0.9520], [0.6954, 0.3046, 0.0480], [0.6954, 0.3046, 0.4520], [0.7486, 0.2514, 0.7500], [0.8612, 0.1388, 0.1270], [0.8612, 0.1388, 0.3730], [0.3639, 0.6361, 0.7500], [0.6361, 0.3639, 0.2500], [0.0541, 0.9459, 0.1132], [0.0541, 0.9459, 0.3868], [0.9459, 0.0541, 0.6132], [0.9459, 0.0541, 0.8868]],
  "rho_kg_m3": 6778,
  "total_energy_ev_per_atom": -6.200,
  "e_form_kcal_per_mol_atoms": 3.94
}

=====

[6]
{
  "formula": "Sr2SeCl",
  "functional": "PBE",
  "state": "optimized geometry",
  "lattice_angstrom": [[0.0000, 3.7815, 3.7815], [3.7815, 0.0000, 3.7815], [3.7815, 3.7815, 0.0000]],
  "species": ["Sr", "Sr", "Se", "Cl"],
  "frac_coords": [[0.2500, 0.2500, 0.2500], [0.7500, 0.7500, 0.7500], [0.0000, 0.0000, 0.0000], [0.5000, 0.5000, 0.5000]],
  "e_above_lowest_polymorph_mev_per_atom": 219,
  "rho_kg_m3": 4448,
  "total_energy_ev_per_atom": -3.792,
  "e_form_raw_mev_per_atom": -1618.0
}

=====

[7]
{
  "formula": "LiTeH2F",
  "functional": "PBE",
  "state": "optimized geometry",
  "lattice_angstrom": [[2.9089, 0.0000, 0.0000], [-0.0067, 2.9089, 0.0000], [-0.8761, -0.8022, 9.9652]],
  "species": ["Li", "Te", "H", "H", "F"],
  "frac_coords": [[0.0000, 0.0000, 0.0000], [0.9068, 0.8705, 0.6279], [0.1931, 0.1762, 0.2864], [0.3285, 0.3138, 0.2427], [0.5018, 0.5016, 0.9997]],
  "e_above_lowest_polymorph_mev_per_atom": 0,
  "rho_kg_m3": 3063,
  "total_energy_ev_per_atom": -3.810
}

=====

[8]
{
  "formula": "Rb4Sb3N4",
  "functional": "PBE",
  "state": "optimized geometry",
  "lattice_angstrom": [[11.8206, -3.2764, 0.0000], [11.8206, 3.2764, 0.0000], [-0.3361, 0.0000, 5.9306]],
  "species": ["Rb", "Rb", "Rb", "Rb", "Sb", "Sb", "Sb", "N", "N", "N", "N"],
  "frac_coords": [[0.0497, 0.0497, 0.2583], [0.3429, 0.3429, 0.9693], [0.6571, 0.6571, 0.0307], [0.9503, 0.9503, 0.7417], [0.4401, 0.4401, 0.4741], [0.5000, 0.5000, 0.0000], [0.5599, 0.5599, 0.5259], [0.1715, 0.1715, 0.0944], [0.2185, 0.2185, 0.0546], [0.7815, 0.7815, 0.9454], [0.8285, 0.8285, 0.9056]],
  "rho_kg_m3": 2759,
  "total_energy_ev_per_atom": -4.659,
  "e_form_raw_mev_per_atom": -155.1
}

=====

[9]
{
  "formula": "Nd2Al4InAg3",
  "functional": "PBE",
  "state": "optimized geometry",
  "lattice_angstrom": [[4.4218, 0.0000, 0.0000], [0.0000, 4.4218, 0.0000], [0.0000, 0.0000, 10.9882]],
  "species": ["Nd", "Nd", "Al", "Al", "Al", "Al", "In", "Ag", "Ag", "Ag"],
  "frac_coords": [[0.0000, 0.5000, 0.2432], [0.5000, 0.0000, 0.7568], [0.0000, 0.0000, 0.0000], [0.0000, 0.5000, 0.6470], [0.5000, 0.0000, 0.3530], [0.5000, 0.5000, 0.0000], [0.0000, 0.0000, 0.5000], [0.0000, 0.5000, 0.8742], [0.5000, 0.0000, 0.1258], [0.5000, 0.5000, 0.5000]],
  "rho_kg_m3": 6452,
  "total_energy_ev_per_atom": -3.935,
  "e_form_kcal_per_mol_atoms": -8.19
}

=====

[10]
{
  "formula": "La2Nd3PuS6",
  "functional": "PBE",
  "state": "optimized geometry",
  "lattice_angstrom": [[8.8970, -2.0348, 0.0000], [8.8970, 2.0348, 0.0000], [-1.8768, 0.0000, 7.9713]],
  "species": ["La", "La", "Nd", "Nd", "Nd", "Pu", "S", "S", "S", "S", "S", "S"],
  "frac_coords": [[0.1647, 0.1647, 0.3308], [0.8353, 0.8353, 0.6692], [0.1672, 0.1672, 0.8360], [0.5000, 0.5000, 0.5000], [0.8328, 0.8328, 0.1640], [0.5000, 0.5000, 0.0000], [0.0022, 0.0022, 0.7576], [0.3339, 0.3339, 0.4132], [0.3359, 0.3359, 0.9207], [0.6641, 0.6641, 0.0793], [0.6661, 0.6661, 0.5868], [0.9978, 0.9978, 0.2424]],
  "rho_kg_m3": 6599,
  "total_energy_ev_per_atom": -7.310,
  "e_form_raw_mev_per_atom": -2039.0
}

=====

[11]
{
  "formula": "Cs3Rb2Na2Hg4",
  "functional": "PBE",
  "state": "optimized geometry",
  "lattice_angstrom": [[6.0506, 0.0000, 0.0000], [-3.0253, 5.2400, 0.0000], [0.0000, 0.0000, 17.1738]],
  "species": ["Cs", "Cs", "Cs", "Rb", "Rb", "Na", "Na", "Hg", "Hg", "Hg", "Hg"],
  "frac_coords": [[0.0000, 0.0000, 0.0000], [0.0000, 0.0000, 0.2535], [0.0000, 0.0000, 0.7465], [0.3333, 0.6667, 0.5746], [0.6667, 0.3333, 0.4254], [0.3333, 0.6667, 0.1281], [0.6667, 0.3333, 0.8719], [0.3333, 0.6667, 0.3443], [0.3333, 0.6667, 0.8766], [0.6667, 0.3333, 0.1234], [0.6667, 0.3333, 0.6557]],
  "rho_kg_m3": 4324,
  "total_energy_ev_per_atom": -0.896,
  "e_form_kcal_per_mol_atoms": -3.19
}

=====

[12]
{
  "formula": "Li2IrPb2",
  "functional": "PBE",
  "state": "optimized geometry",
  "lattice_angstrom": [[7.2771, 0.0000, 0.0000], [0.0000, 7.2771, 0.0000], [0.0000, 0.0000, 3.7435]],
  "species": ["Li", "Li", "Li", "Li", "Ir", "Ir", "Pb", "Pb", "Pb", "Pb"],
  "frac_coords": [[0.1553, 0.3447, 0.0000], [0.3447, 0.8447, 0.0000], [0.6553, 0.1553, 0.0000], [0.8447, 0.6553, 0.0000], [0.0000, 0.0000, 0.5000], [0.5000, 0.5000, 0.5000], [0.1519, 0.6519, 0.5000], [0.3481, 0.1519, 0.5000], [0.6519, 0.8481, 0.5000], [0.8481, 0.3481, 0.5000]],
  "e_above_lowest_polymorph_mev_per_atom": 0,
  "rho_kg_m3": 10395,
  "total_energy_ev_per_atom": -3.952,
  "e_form_kcal_per_mol_atoms": 1.60
}

=====

- What is the formula in the eleventh record?
  Cs3Rb2Na2Hg4

=====

- Which formula does entry 12 have?
  Li2IrPb2